Density functional theory data (PBE) for a geometry-optimized BaLiInAu2 structure.

Space group: I-4m2
Size of the total moment: 0.000 μB/f.u.
Mass density: 8.49 g cm⁻³
DFT total energy: -3.22 eV/atom
Formation energy: -599 meV/atom

a b c (Å): 4.467 4.467 7.139
angles (deg): 108.23 108.23 90.00
Element x y z (fractional)
Au1 0.614 0.614 0.227
Au2 0.386 0.386 0.773
Ba1 0.000 0.000 0.000
Li1 0.250 0.750 0.500
In1 0.750 0.250 0.500